V3FeNi12 (PBE, relaxed); E_form = -0.155 eV per atom; magnetic moment = 6.8 Bohr magnetons per cell; symmetry = P4/mmm (123); energy = -107.67 eV per cell
1.0
-0.216 3.033 1.839
-2.616 1.108 -2.135
-9.616 -5.956 8.693
Ni V Fe
12 3 1
direct
0.500 0.500 0.000
0.500 0.500 0.251
0.500 0.000 0.874
0.500 0.000 0.625
0.000 0.500 0.874
0.500 0.000 0.126
0.500 0.500 0.500
0.000 0.500 0.375
0.000 0.500 0.126
0.000 0.500 0.625
0.500 0.000 0.375
0.500 0.500 0.749
0.000 0.000 0.500
0.000 0.000 0.247
0.000 0.000 0.753
0.000 0.000 0.000

=====

VFe2Ni (PBE, relaxed); E_form = 0.373 eV per atom; magnetic moment = 6.3 Bohr magnetons per cell; symmetry = I-42d (122); energy = -60.66 eV per cell
1.0
3.453 0.000 0.000
0.000 3.453 0.000
1.727 1.727 8.474
V Fe Ni
2 4 2
direct
0.500 0.500 0.000
0.250 0.750 0.500
0.375 0.374 0.750
0.875 0.876 0.750
0.124 0.625 0.250
0.626 0.125 0.250
0.750 0.250 0.500
0.000 0.000 0.000